No. 1
A plane-wave DFT calculation with PBE was carried out for TlIn2Pb4 after structural relaxation.

Output
Electronic total energy: -22.616 eV per cell
M_tot: 0.000 μB/atom
Fermi-level density of states: 3.07 states/eV per cell
DFT formation energy: 9 meV per atom

abc: 6.0090 9.2125 6.0279
angles: 122.99 130.36 72.37
Last column: nearest neighbours and their distance in Å.
Sites, in units of the cell vectors:
Pb 0.2836 0.8549 0.5670  5 Pb 3.44-3.56, 4 In 3.45-3.54, 3 Tl 3.48-3.52
Pb 0.1435 0.4308 0.2891  6 Pb 3.44-3.56, 1 Tl 3.48, 5 In 3.48-3.55
Pb 0.7164 0.1451 0.4330  5 Pb 3.44-3.56, 4 In 3.45-3.54, 3 Tl 3.48-3.52
Pb 0.8565 0.5692 0.7109  6 Pb 3.44-3.56, 1 Tl 3.48, 5 In 3.48-3.55
Tl 0.0000 0.0000 0.0000  8 Pb 3.48-3.52, 4 In 3.51-3.55
In 0.4304 0.2866 0.8577  1 In 3.45, 9 Pb 3.45-3.55, 2 Tl 3.51-3.55
In 0.5696 0.7134 0.1423  1 In 3.45, 9 Pb 3.45-3.55, 2 Tl 3.51-3.55

No. 2
A plane-wave DFT calculation with PBE was carried out for Tl12In5Pb3 after structural relaxation.

Output
Electronic total energy: -197.712 eV per cell
M_tot: 0.000 μB/atom
Fermi-level density of states: 56.91 states/eV per cell
DFT formation energy: 189 meV per atom

abc: 15.6893 15.6893 15.6893
angles: 109.47 109.47 109.47
Last column: nearest neighbours and their distance in Å.
Sites, in units of the cell vectors:
Pb 0.6250 0.3750 0.7500  8 Tl 3.19-3.43
Pb 0.3750 0.6250 0.2500  8 Tl 3.19-3.43
Pb 0.1250 0.2500 0.8750  8 Tl 3.19-3.43
Pb 0.2500 0.1250 0.3750  8 Tl 3.19-3.43
Pb 0.3750 0.7500 0.6250  8 Tl 3.19-3.43
Pb 0.7500 0.3750 0.1250  8 Tl 3.19-3.43
Pb 0.8750 0.7500 0.1250  8 Tl 3.19-3.43
Pb 0.2500 0.6250 0.8750  8 Tl 3.19-3.43
Pb 0.1250 0.8750 0.7500  8 Tl 3.19-3.43
Pb 0.7500 0.8750 0.6250  8 Tl 3.19-3.43
Pb 0.8750 0.1250 0.2500  8 Tl 3.19-3.43
Pb 0.6250 0.2500 0.3750  8 Tl 3.19-3.43
Tl 0.0600 0.4262 0.8328  2 In 3.00-3.08, 1 Pb 3.19
Tl 0.7728 0.4400 0.3662  2 In 3.00-3.08, 1 Pb 3.19
Tl 0.8662 0.5934 0.9262  2 In 3.00-3.08, 1 Pb 3.19
Tl 0.0600 0.6338 0.7272  2 In 3.00-3.08, 1 Pb 3.19
Tl 0.5934 0.7272 0.6672  2 In 3.00-3.08, 1 Pb 3.19
Tl 0.2728 0.8662 0.9400  2 In 3.00-3.08, 1 Pb 3.19
Tl 0.6338 0.0600 0.2272  2 In 3.00-3.08, 1 Pb 3.19
Tl 0.8662 0.2728 0.4400  2 In 3.00-3.08, 1 Pb 3.19
Tl 0.7272 0.5934 0.1672  2 In 3.00-3.08, 1 Pb 3.19
Tl 0.7272 0.1338 0.0600  2 In 3.00-3.08, 1 Pb 3.19
Tl 0.9400 0.3662 0.2728  2 In 3.00-3.08, 1 Pb 3.19
Tl 0.7728 0.3328 0.9066  2 In 3.00-3.08, 1 Pb 3.19
Tl 0.0934 0.1672 0.2272  2 In 3.00-3.08, 1 Pb 3.19
Tl 0.8328 0.9262 0.0600  2 In 3.00-3.08, 1 Pb 3.19
Tl 0.5738 0.6338 0.4066  2 In 3.00-3.08, 1 Pb 3.19
Tl 0.1672 0.0738 0.9400  2 In 3.00-3.08, 1 Pb 3.19
Tl 0.9262 0.8328 0.5600  2 In 3.00-3.08, 1 Pb 3.19
Tl 0.0738 0.1672 0.4400  2 In 3.00-3.08, 1 Pb 3.19
Tl 0.2728 0.4066 0.8328  2 In 3.00-3.08, 1 Pb 3.19
Tl 0.4262 0.3662 0.5934  2 In 3.00-3.08, 1 Pb 3.19
Tl 0.2272 0.6672 0.0934  2 In 3.00-3.08, 1 Pb 3.19
Tl 0.4400 0.6672 0.0738  2 In 3.00-3.08, 1 Pb 3.19
Tl 0.3328 0.5600 0.4262  2 In 3.00-3.08, 1 Pb 3.19
Tl 0.5600 0.3328 0.9262  2 In 3.00-3.08, 1 Pb 3.19
Tl 0.4400 0.7728 0.8662  2 In 3.00-3.08, 1 Pb 3.19
Tl 0.4262 0.0600 0.3328  2 In 3.00-3.08, 1 Pb 3.19
Tl 0.3662 0.4262 0.0934  2 In 3.00-3.08, 1 Pb 3.19
Tl 0.6672 0.2272 0.5934  2 In 3.00-3.08, 1 Pb 3.19
Tl 0.1672 0.0934 0.7272  2 In 3.00-3.08, 1 Pb 3.19
Tl 0.0738 0.9066 0.1338  2 In 3.00-3.08, 1 Pb 3.19
Tl 0.9262 0.0934 0.8662  2 In 3.00-3.08, 1 Pb 3.19
Tl 0.4066 0.2728 0.3328  2 In 3.00-3.08, 1 Pb 3.19
Tl 0.5738 0.9400 0.6672  2 In 3.00-3.08, 1 Pb 3.19
Tl 0.3328 0.7728 0.4066  2 In 3.00-3.08, 1 Pb 3.19
Tl 0.2272 0.5600 0.6338  2 In 3.00-3.08, 1 Pb 3.19
Tl 0.4066 0.1338 0.5738  2 In 3.00-3.08, 1 Pb 3.19
Tl 0.0934 0.9262 0.3662  2 In 3.00-3.08, 1 Pb 3.19
Tl 0.6672 0.4400 0.5738  2 In 3.00-3.08, 1 Pb 3.19
Tl 0.9400 0.5738 0.1672  2 In 3.00-3.08, 1 Pb 3.19
Tl 0.8328 0.9066 0.2728  2 In 3.00-3.08, 1 Pb 3.19
Tl 0.5934 0.8662 0.4262  2 In 3.00-3.08, 1 Pb 3.19
Tl 0.9066 0.8328 0.7728  2 In 3.00-3.08, 1 Pb 3.19
Tl 0.3662 0.9400 0.7728  2 In 3.00-3.08, 1 Pb 3.19
Tl 0.9066 0.0738 0.6338  2 In 3.00-3.08, 1 Pb 3.19
Tl 0.1338 0.7272 0.5600  2 In 3.00-3.08, 1 Pb 3.19
Tl 0.6338 0.5738 0.9066  2 In 3.00-3.08, 1 Pb 3.19
Tl 0.1338 0.4066 0.0738  2 In 3.00-3.08, 1 Pb 3.19
Tl 0.5600 0.2272 0.1338  2 In 3.00-3.08, 1 Pb 3.19
In 0.3750 0.1250 0.7500  4 Tl 3.00
In 0.5000 0.0000 0.5000  6 Tl 3.08
In 0.5000 0.5000 0.0000  6 Tl 3.08
In 0.0000 0.5000 0.0000  6 Tl 3.08
In 0.7500 0.6250 0.3750  4 Tl 3.00
In 0.8750 0.6250 0.7500  4 Tl 3.00
In 0.2500 0.3750 0.6250  4 Tl 3.00
In 0.6250 0.7500 0.8750  4 Tl 3.00
In 0.5000 0.0000 0.0000  6 Tl 3.08
In 0.5000 0.5000 0.5000  6 Tl 3.08
In 0.0000 0.5000 0.5000  6 Tl 3.08
In 0.2500 0.8750 0.1250  4 Tl 3.00
In 0.0000 0.0000 0.0000  6 Tl 3.08
In 0.0000 0.0000 0.5000  6 Tl 3.08
In 0.7500 0.1250 0.8750  4 Tl 3.00
In 0.6250 0.8750 0.2500  4 Tl 3.00
In 0.3750 0.2500 0.1250  4 Tl 3.00
In 0.8750 0.2500 0.6250  4 Tl 3.00
In 0.1250 0.7500 0.3750  4 Tl 3.00
In 0.1250 0.3750 0.2500  4 Tl 3.00